Entry 1:
VASP calculation (GGA-PBE) on an optimized crystal structure of Tl2GaS.

Output
ΔE_f (raw)   0.287 eV/f.u.
Fermi-level density of states   3.32 states/eV per cell
Size of the total moment   0.0 μB per cell
Theoretical density   8.207 g cm⁻³

a b c (Å): 5.2668 5.2668 5.2668
angles (deg): 60.00 60.00 60.00
Fractional positions:
Tl 0.2500 0.2500 0.2500
Tl 0.7500 0.7500 0.7500
Ga 0.0000 0.0000 0.0000
S 0.5000 0.5000 0.5000

Entry 2:
VASP calculation (GGA-PBE) on an optimized crystal structure of SnBr2F.

Output
ΔE_f (raw)   -4.503 eV/f.u.
Fermi-level density of states   4.28 states/eV per cell
Size of the total moment   0.0 μB per cell
Theoretical density   4.174 g cm⁻³

a b c (Å): 7.6672 7.6672 7.6672
angles (deg): 94.69 94.69 146.76
Fractional positions:
Sn 0.0000 0.0000 0.0000
Sn 0.7500 0.2500 0.5000
Br 0.3750 0.2100 0.3350
Br 0.7900 0.1250 0.1650
Br 0.8750 0.0400 0.6650
Br 0.9600 0.6250 0.8350
F 0.2500 0.7500 0.5000
F 0.5000 0.5000 0.0000

Entry 3:
VASP calculation (GGA-PBE) on an optimized crystal structure of NaBe3Re.

Output
DFT formation energy   9.36 eV/f.u.
Fermi-level density of states   2.10 states/eV per cell
Size of the total moment   1.3 μB per cell
Theoretical density   6.308 g cm⁻³

a b c (Å): 3.9618 3.9618 3.9618
angles (deg): 90.00 90.00 90.00
Fractional positions:
Na 0.0000 0.0000 0.0000
Be 0.0000 0.0000 0.5000
Be 0.0000 0.5000 0.0000
Be 0.5000 0.0000 0.0000
Re 0.5000 0.5000 0.5000

Entry 4:
VASP calculation (GGA-PBE) on an optimized crystal structure of LaW2Cl.

Output
ΔE_f (raw)   5.167 eV/f.u.
Fermi-level density of states   3.76 states/eV per cell
Size of the total moment   0.0 μB per cell
Theoretical density   10.432 g cm⁻³

a b c (Å): 3.6486 3.6486 6.4812
angles (deg): 90.00 90.00 90.00
Fractional positions:
La 0.0000 0.0000 0.0000
W 0.5000 0.5000 0.3161
W 0.5000 0.5000 0.6839
Cl 0.0000 0.0000 0.5000

Entry 5:
VASP calculation (GGA-PBE) on an optimized crystal structure of Cr2PtRh.

Output
DFT formation energy   -0.07 eV/f.u.
Fermi-level density of states   4.10 states/eV per cell
Size of the total moment   6.7 μB per cell
Theoretical density   11.496 g cm⁻³

a b c (Å): 3.1522 3.1522 5.8437
angles (deg): 90.00 90.00 90.00
Fractional positions:
Cr 0.0000 0.0000 0.2459
Cr 0.0000 0.0000 0.7541
Pt 0.5000 0.5000 0.5000
Rh 0.5000 0.5000 0.0000

Entry 6:
VASP calculation (GGA-PBE) on an optimized crystal structure of HfScCd2B.

Output
DFT formation energy   1.13 eV/f.u.
Fermi-level density of states   3.42 states/eV per cell
Size of the total moment   0.7 μB per cell
Theoretical density   7.860 g cm⁻³

a b c (Å): 4.5592 4.5592 4.6660
angles (deg): 90.00 90.00 90.00
Fractional positions:
Hf 0.0000 0.0000 0.0000
Sc 0.5000 0.5000 0.0000
Cd 0.0000 0.5000 0.5000
Cd 0.5000 0.0000 0.5000
B 0.0000 0.0000 0.5000

Entry 7:
VASP calculation (GGA-PBE) on an optimized crystal structure of Er4MgAg2.

Output
DFT formation energy   -0.67 eV/f.u.
Fermi-level density of states   5.64 states/eV per cell
Size of the total moment   0.0 μB per cell
Theoretical density   8.233 g cm⁻³

a b c (Å): 8.6214 8.6214 8.6214
angles (deg): 34.50 34.50 34.50
Fractional positions:
Er 0.1143 0.1143 0.1143
Er 0.3680 0.3680 0.3680
Er 0.6320 0.6320 0.6320
Er 0.8857 0.8857 0.8857
Mg 0.5000 0.5000 0.5000
Ag 0.2429 0.2429 0.2429
Ag 0.7571 0.7571 0.7571

Entry 8:
VASP calculation (GGA-PBE) on an optimized crystal structure of In2NiCl.

Output
ΔE_f (raw)   -0.391 eV/f.u.
Fermi-level density of states   3.92 states/eV per cell
Size of the total moment   0.4 μB per cell
Theoretical density   5.904 g cm⁻³

a b c (Å): 9.1846 9.1846 9.1846
angles (deg): 21.48 21.48 21.48
Fractional positions:
In 0.0000 0.0000 0.0000
In 0.2332 0.2332 0.2332
Ni 0.7342 0.7342 0.7342
Cl 0.4460 0.4460 0.4460

Entry 9:
VASP calculation (GGA-PBE) on an optimized crystal structure of PmGdIr2.

Output
DFT formation energy   -2.65 eV/f.u.
Fermi-level density of states   2.32 states/eV per cell
Size of the total moment   6.7 μB per cell
Theoretical density   13.389 g cm⁻³

a b c (Å): 4.9384 4.9384 4.9384
angles (deg): 60.00 60.00 60.00
Fractional positions:
Pm 0.0000 0.0000 0.0000
Gd 0.5000 0.5000 0.5000
Ir 0.2500 0.2500 0.2500
Ir 0.7500 0.7500 0.7500

Entry 10:
VASP calculation (GGA-PBE) on an optimized crystal structure of CsAcBi2.

Output
DFT formation energy   -2.44 eV/f.u.
Fermi-level density of states   1.35 states/eV per cell
Size of the total moment   0.0 μB per cell
Theoretical density   7.414 g cm⁻³

a b c (Å): 4.5724 4.5724 8.3335
angles (deg): 90.00 90.00 90.00
Fractional positions:
Cs 0.0000 0.0000 0.0000
Ac 0.0000 0.0000 0.5000
Bi 0.5000 0.5000 0.3133
Bi 0.5000 0.5000 0.6867

Entry 11:
VASP calculation (GGA-PBE) on an optimized crystal structure of LaSm5Th.

Output
DFT formation energy   2.25 eV/f.u.
Fermi-level density of states   9.42 states/eV per cell
Size of the total moment   0.0 μB per cell
Theoretical density   7.230 g cm⁻³

a b c (Å): 5.7264 5.7264 7.8641
angles (deg): 90.00 90.00 90.00
Fractional positions:
La 0.0000 0.0000 0.0000
Sm 0.0000 0.5000 0.2820
Sm 0.0000 0.5000 0.7180
Sm 0.5000 0.0000 0.2820
Sm 0.5000 0.0000 0.7180
Sm 0.5000 0.5000 0.0000
Th 0.0000 0.0000 0.5000

Entry 12:
VASP calculation (GGA-PBE) on an optimized crystal structure of Cs2LiTbBr6.

Output
ΔE_f (raw)   -18.232 eV/f.u.
Fermi-level density of states   0.00 states/eV per cell
Size of the total moment   0.0 μB per cell
Theoretical density   4.177 g cm⁻³

a b c (Å): 14.0053 14.0053 14.0053
angles (deg): 32.98 32.98 32.98
Fractional positions:
Cs 0.1258 0.1258 0.1258
Cs 0.2904 0.2904 0.2904
Cs 0.7096 0.7096 0.7096
Cs 0.8742 0.8742 0.8742
Li 0.0000 0.0000 0.0000
Li 0.5000 0.5000 0.5000
Tb 0.4136 0.4136 0.4136
Tb 0.5864 0.5864 0.5864
Br 0.1357 0.6183 0.6183
Br 0.2054 0.2054 0.7109
Br 0.2054 0.7109 0.2054
Br 0.2891 0.7946 0.7946
Br 0.3817 0.3817 0.8643
Br 0.3817 0.8643 0.3817
Br 0.6183 0.1357 0.6183
Br 0.6183 0.6183 0.1357
Br 0.7109 0.2054 0.2054
Br 0.7946 0.2891 0.7946
Br 0.7946 0.7946 0.2891
Br 0.8643 0.3817 0.3817

Entry 13:
VASP calculation (GGA-PBE) on an optimized crystal structure of CeThIn4.

Output
DFT formation energy   -1.67 eV/f.u.
Fermi-level density of states   10.01 states/eV per cell
Size of the total moment   1.7 μB per cell
Theoretical density   8.652 g cm⁻³

a b c (Å): 6.0882 6.0882 6.0882
angles (deg): 60.00 60.00 60.00
Fractional positions:
Ce 0.0000 0.0000 0.0000
Th 0.2500 0.2500 0.2500
In 0.1251 0.6250 0.6250
In 0.6250 0.1251 0.6250
In 0.6250 0.6250 0.1251
In 0.6250 0.6250 0.6250

Entry 14:
VASP calculation (GGA-PBE) on an optimized crystal structure of PmHoEr2Sc2.

Output
DFT formation energy   0.46 eV/f.u.
Fermi-level density of states   20.98 states/eV per cell
Size of the total moment   0.0 μB per cell
Theoretical density   6.984 g cm⁻³

a b c (Å): 6.7484 9.4796 5.4590
angles (deg): 90.00 90.00 90.00
Fractional positions:
Pm 0.0000 0.0000 0.0000
Pm 0.5000 0.5000 0.5000
Ho 0.0000 0.5000 0.5000
Ho 0.5000 0.0000 0.0000
Er 0.2477 0.3334 0.0000
Er 0.2523 0.8334 0.5000
Er 0.7477 0.1666 0.5000
Er 0.7523 0.6666 0.0000
Sc 0.2497 0.1667 0.5000
Sc 0.2503 0.6667 0.0000
Sc 0.7497 0.3333 0.0000
Sc 0.7503 0.8333 0.5000

Entry 15:
VASP calculation (GGA-PBE) on an optimized crystal structure of Ta2InPt9.

Output
DFT formation energy   -7.28 eV/f.u.
Fermi-level density of states   5.84 states/eV per cell
Size of the total moment   0.0 μB per cell
Theoretical density   19.055 g cm⁻³

a b c (Å): 4.0138 4.0138 12.0758
angles (deg): 90.00 90.00 90.00
Fractional positions:
Ta 0.0000 0.0000 0.1697
Ta 0.0000 0.0000 0.8303
In 0.0000 0.0000 0.5000
Pt 0.0000 0.5000 0.0000
Pt 0.0000 0.5000 0.3232
Pt 0.0000 0.5000 0.6768
Pt 0.5000 0.0000 0.0000
Pt 0.5000 0.0000 0.3232
Pt 0.5000 0.0000 0.6768
Pt 0.5000 0.5000 0.1621
Pt 0.5000 0.5000 0.5000
Pt 0.5000 0.5000 0.8379

Entry 16:
VASP calculation (GGA-PBE) on an optimized crystal structure of SmInHg.

Output
DFT formation energy   -1.03 eV/f.u.
Fermi-level density of states   2.65 states/eV per cell
Size of the total moment   0.0 μB per cell
Theoretical density   9.776 g cm⁻³

a b c (Å): 6.4422 6.4422 6.4422
angles (deg): 146.97 146.97 47.40
Fractional positions:
Sm 0.0000 0.0000 0.0000
In 0.6812 0.6812 0.0000
Hg 0.3337 0.3337 0.0000

Entry 17:
VASP calculation (GGA-PBE) on an optimized crystal structure of Be2ZnGaFe.

Output
DFT formation energy   4.98 eV/f.u.
Fermi-level density of states   2.89 states/eV per cell
Size of the total moment   3.0 μB per cell
Theoretical density   4.800 g cm⁻³

a b c (Å): 3.9960 3.9960 4.5277
angles (deg): 90.00 90.00 90.00
Fractional positions:
Be 0.0000 0.5000 0.0000
Be 0.5000 0.0000 0.0000
Zn 0.0000 0.0000 0.0000
Ga 0.0000 0.0000 0.5000
Fe 0.5000 0.5000 0.5000

Entry 18:
VASP calculation (GGA-PBE) on an optimized crystal structure of ReAs2Pt.

Output
DFT formation energy   1.03 eV/f.u.
Fermi-level density of states   4.01 states/eV per cell
Size of the total moment   0.0 μB per cell
Theoretical density   10.107 g cm⁻³

a b c (Å): 6.8428 6.8428 6.8428
angles (deg): 131.79 131.79 70.56
Fractional positions:
Re 0.0000 0.0000 0.0000
Re 0.7500 0.2500 0.5000
As 0.1160 0.6250 0.9910
As 0.3750 0.3660 0.4910
As 0.6340 0.1250 0.0090
As 0.8750 0.8840 0.5090
Pt 0.2500 0.7500 0.5000
Pt 0.5000 0.5000 0.0000

Entry 19:
VASP calculation (GGA-PBE) on an optimized crystal structure of Zr3CdBi.

Output
DFT formation energy   4.66 eV/f.u.
Fermi-level density of states   7.51 states/eV per cell
Size of the total moment   0.0 μB per cell
Theoretical density   6.266 g cm⁻³

a b c (Å): 5.4026 5.4026 5.4026
angles (deg): 90.00 90.00 90.00
Fractional positions:
Zr 0.0000 0.0000 0.5000
Zr 0.0000 0.5000 0.0000
Zr 0.5000 0.0000 0.0000
Cd 0.5000 0.5000 0.5000
Bi 0.0000 0.0000 0.0000

Entry 20:
VASP calculation (GGA-PBE) on an optimized crystal structure of SrLiP2.

Output
DFT formation energy   -1.19 eV/f.u.
Fermi-level density of states   2.55 states/eV per cell
Size of the total moment   0.0 μB per cell
Theoretical density   3.054 g cm⁻³

a b c (Å): 4.9372 4.9372 4.9372
angles (deg): 60.00 60.00 60.00
Fractional positions:
Sr 0.0000 0.0000 0.0000
Li 0.5000 0.5000 0.5000
P 0.2500 0.2500 0.2500
P 0.7500 0.7500 0.7500